The following is a DFT calculation (PBE+U) of a geometry-optimized VCdFe2O6 structure.

Cell: 5.3102 5.2027 5.5951 Å, 89.96 117.78 119.90°
Each line ends with the local moment (μB).
Atoms (fractional coordinates):
O 0.7842 0.7100 0.1642  0.18
O 0.7539 0.6009 0.6917  0.14
O 0.5441 0.9488 0.6850  0.17
O 0.1126 0.3786 0.1583  0.07
O 0.4498 0.0553 0.1526  0.17
O 0.1045 0.1583 0.6852  0.16
Fe 0.5877 0.7946 0.3615  4.37
Fe 0.5919 0.2979 0.8857  4.36
V 0.9990 0.0062 0.9762  1.11
Cd 0.0379 0.5271 0.5423  0.02

- Total moment: 11.000 μB/cell
- Total energy: -6.44 eV/atom
- SG: P1, No. 1